The following is a DFT calculation (PBE) of Na3NdTm2O6 after structural relaxation.

The structure belongs to space group C2/m (No. 12); the cell edges are 5.9599, 10.3332 and 5.9307 Å and the angles 90.00°, 109.45° and 90.00°. The asymmetric unit holds Na at (0.0000, 0.0000, 0.0000), Na at (0.0000, 0.3274, 0.0000), Nd at (0.0000, 0.5000, 0.5000), Tm at (0.0000, 0.1665, 0.5000), O at (0.2215, 0.0000, 0.7118) and O at (0.2438, 0.3259, 0.7100).

The calculation puts the mass density at 6240 kg/m³. The uncorrected formation energy comes out at -2.772 eV per atom. For the total magnetic moment, the calculation gives 0.00 Bohr magnetons per cell.